# 1
DyHo4Tl, optimized geometry, DFT PBE-GGA; calculated volume = 30.05 Å³ per atom; DFT formation energy = -104 meV/atom; D(E_F) = 1.11 states/eV per atom; total DFT energy (no corrections) = -4.32 eV per atom; symmetry = No. 123
1.0
3.567 0.000 0.000
0.000 3.567 0.000
0.000 0.000 14.171
Dy Ho Tl
1 4 1
Cartesian
0.000 0.000 0.000
0.000 0.000 4.957
0.000 0.000 9.215
1.784 1.784 2.488
1.784 1.784 11.684
1.784 1.784 7.086

=====

# 2
Sb2SeI2, optimized geometry, DFT PBE-GGA; calculated volume = 30.51 Å³ per atom; uncorrected formation energy = 0.0991 eV/atom; D(E_F) = 0.66 states/eV per atom; total DFT energy (no corrections) = -2.87 eV per atom; symmetry = No. 127
1.0
7.665 0.000 0.000
0.000 7.665 0.000
0.000 0.000 5.192
Sb Se I
4 2 4
Cartesian
1.178 2.655 0.000
2.655 6.487 0.000
5.010 1.178 0.000
6.487 5.010 0.000
0.000 0.000 0.000
3.833 3.833 0.000
1.339 5.171 2.596
2.494 1.339 2.596
5.171 6.326 2.596
6.326 2.494 2.596

=====

# 3
Pm2SmPb9, optimized geometry, DFT PBE-GGA; calculated volume = 29.66 Å³ per atom; DFT formation energy = -354 meV/atom; D(E_F) = 0.45 states/eV per atom; total DFT energy (no corrections) = -4.32 eV per atom; symmetry = No. 123
1.0
4.914 0.000 0.000
0.000 4.914 0.000
0.000 0.000 14.744
Pm Sm Pb
2 1 9
Cartesian
0.000 0.000 2.459
0.000 0.000 12.284
0.000 0.000 7.372
0.000 2.457 0.000
0.000 2.457 4.923
0.000 2.457 9.820
2.457 0.000 0.000
2.457 0.000 4.923
2.457 0.000 9.820
2.457 2.457 2.462
2.457 2.457 7.372
2.457 2.457 12.281